The following is a DFT calculation (PBE-GGA) of Y8HoTl2 after structural relaxation.

Values from the calculation:
The calculation puts the raw total energy at -122.54 eV per cell. The calculation puts the theoretical density at 6.10 g cm⁻³. For the calculated volume, the calculation gives 31.81 Å³/atom.

Cell: 8.943 15.116 5.632 Å, 90.00 113.19 90.00°
Space group C2/m (No. 12)
Symmetry-distinct sites (fractional):
Y: 0.000 0.218 0.000 x4
Y: 0.100 0.500 0.798 x4
Y: 0.208 0.114 0.614 x8
Ho: 0.000 0.000 0.000 x2
Tl: 0.000 0.306 0.500 x4

The following is a DFT calculation (PBE-GGA) of Y6Ho8Tl after structural relaxation.

Values from the calculation:
The calculation puts the raw total energy at -74.75 eV per cell. The calculation puts the theoretical density at 7.00 g cm⁻³. For the calculated volume, the calculation gives 32.53 Å³/atom.

Cell: 9.1603 9.1603 6.7143 Å, 90.00 90.00 120.00°
Space group P-3 (No. 147)
Symmetry-distinct sites (fractional):
Y: 0.0836 0.6827 0.1046 x6
Ho: 0.0126 0.3265 0.3895 x6
Ho: 0.3333 0.6667 0.6768 x2
Tl: 0.0000 0.0000 0.0000 x1

The following is a DFT calculation (PBE-GGA) of Y12Ho3Tl after structural relaxation.

Values from the calculation:
The calculation puts the raw total energy at -94.06 eV per cell. The calculation puts the theoretical density at 5.85 g cm⁻³. For the calculated volume, the calculation gives 31.31 Å³/atom.

Cell: 4.973 4.973 20.257 Å, 90.00 90.00 90.00°
Space group P4/mmm (No. 123)
Symmetry-distinct sites (fractional):
Y: 0.000 0.000 0.000 x1
Y: 0.000 0.000 0.245 x2
Y: 0.000 0.000 0.500 x1
Y: 0.000 0.500 0.122 x4
Y: 0.000 0.500 0.374 x4
Ho: 0.500 0.500 0.249 x2
Ho: 0.500 0.500 0.500 x1
Tl: 0.500 0.500 0.000 x1